(1)
{
  "formula": "VGe3O",
  "functional": "PBE with a Hubbard U",
  "state": "optimized geometry",
  "rho_g_cm3": 4.362,
  "total_energy_ev_per_atom": -4.363,
  "e_above_lowest_polymorph_mev_per_atom": 631.7,
  "cell": [[4.7689, 0.0000, 0.0000], [0.0000, 4.7689, 0.0000], [0.0000, 0.0000, 4.7689]],
  "species": ["V", "Ge", "Ge", "Ge", "O"],
  "fractional_positions": [[0.0000, 0.0000, 0.0000], [0.0000, 0.0000, 0.5000], [0.0000, 0.5000, 0.0000], [0.5000, 0.0000, 0.0000], [0.5000, 0.5000, 0.5000]]
}

(2)
{
  "formula": "V3GeO9",
  "functional": "PBE with a Hubbard U",
  "state": "optimized geometry",
  "rho_g_cm3": 3.040,
  "total_energy_ev_per_atom": -7.267,
  "cell": [[7.0975, -3.4918, 0.0000], [7.0975, 3.4918, 0.0000], [-5.9978, 0.0000, 8.1430]],
  "species": ["V", "V", "V", "V", "V", "V", "Ge", "Ge", "O", "O", "O", "O", "O", "O", "O", "O", "O", "O", "O", "O", "O", "O", "O", "O", "O", "O"],
  "fractional_positions": [[0.0205, 0.9795, 0.5000], [0.2791, 0.4819, 0.5740], [0.4819, 0.2791, 0.0740], [0.5375, 0.7311, 0.4426], [0.7311, 0.5375, 0.9426], [0.9795, 0.0205, 0.0000], [0.0089, 0.4975, 0.7536], [0.4975, 0.0089, 0.2536], [0.9996, 0.2221, 0.6640], [0.0277, 0.7687, 0.8427], [0.0909, 0.7631, 0.5587], [0.1432, 0.3961, 0.5971], [0.2221, 0.9996, 0.1640], [0.2343, 0.8866, 0.4356], [0.3051, 0.3667, 0.9030], [0.3667, 0.3051, 0.4030], [0.3961, 0.1432, 0.0971], [0.5011, 0.5040, 0.7477], [0.5040, 0.5011, 0.2477], [0.5952, 0.8853, 0.4114], [0.6213, 0.7190, 0.1059], [0.7190, 0.6213, 0.6059], [0.7631, 0.0909, 0.0587], [0.7687, 0.0277, 0.3427], [0.8853, 0.5952, 0.9114], [0.8866, 0.2343, 0.9356]]
}

(3)
{
  "formula": "V2GeO5",
  "functional": "PBE with a Hubbard U",
  "state": "optimized geometry",
  "rho_g_cm3": 4.214,
  "total_energy_ev_per_atom": -7.445,
  "cell": [[0.0000, 4.0001, 6.3363], [3.9574, 0.0000, 6.3363], [3.9574, 4.0001, 0.0000]],
  "species": ["V", "V", "V", "V", "Ge", "Ge", "O", "O", "O", "O", "O", "O", "O", "O", "O", "O"],
  "fractional_positions": [[0.0000, 0.0000, 0.0000], [0.0000, 0.0000, 0.5000], [0.0000, 0.5000, 0.0000], [0.5000, 0.0000, 0.0000], [0.3750, 0.3750, 0.3750], [0.6250, 0.6250, 0.6250], [0.1250, 0.1250, 0.1250], [0.1787, 0.7143, 0.3045], [0.2857, 0.8213, 0.6975], [0.3025, 0.3045, 0.7143], [0.3045, 0.3025, 0.1787], [0.6955, 0.6975, 0.8213], [0.6975, 0.6955, 0.2857], [0.7143, 0.1787, 0.3025], [0.8213, 0.2857, 0.6955], [0.8750, 0.8750, 0.8750]]
}

(4)
{
  "formula": "VGeO3",
  "functional": "PBE with a Hubbard U",
  "state": "optimized geometry",
  "rho_g_cm3": 5.397,
  "total_energy_ev_per_atom": -6.419,
  "cell": [[3.7515, 0.0000, 0.0000], [0.0000, 3.7515, 0.0000], [0.0000, 0.0000, 3.7515]],
  "species": ["V", "Ge", "O", "O", "O"],
  "fractional_positions": [[0.0000, 0.0000, 0.0000], [0.5000, 0.5000, 0.5000], [0.0000, 0.5000, 0.5000], [0.5000, 0.0000, 0.5000], [0.5000, 0.5000, 0.0000]]
}

(5)
{
  "formula": "V2GeO8",
  "functional": "PBE with a Hubbard U",
  "state": "optimized geometry",
  "rho_g_cm3": 2.972,
  "total_energy_ev_per_atom": -6.707,
  "cell": [[5.5389, 0.0000, 0.0000], [-2.7694, 4.7968, 0.0000], [0.0000, 0.0000, 6.3620]],
  "species": ["V", "V", "Ge", "O", "O", "O", "O", "O", "O", "O", "O"],
  "fractional_positions": [[0.3333, 0.6667, 0.2400], [0.6667, 0.3333, 0.7600], [0.0000, 0.0000, 0.5000], [0.1594, 0.3189, 0.3301], [0.1594, 0.8406, 0.3301], [0.3189, 0.1594, 0.6699], [0.3333, 0.6667, 0.9788], [0.6667, 0.3333, 0.0212], [0.6811, 0.8406, 0.3301], [0.8406, 0.1594, 0.6699], [0.8406, 0.6811, 0.6699]]
}

(6)
{
  "formula": "VGeO3",
  "functional": "PBE with a Hubbard U",
  "state": "optimized geometry",
  "rho_g_cm3": 3.759,
  "total_energy_ev_per_atom": -6.915,
  "cell": [[7.3978, -1.4602, 0.0000], [7.3978, 1.4602, 0.0000], [-2.5467, 0.0000, 7.0167]],
  "species": ["V", "V", "Ge", "Ge", "O", "O", "O", "O", "O", "O"],
  "fractional_positions": [[0.1500, 0.1500, 0.4349], [0.8500, 0.8500, 0.5651], [0.4180, 0.4180, 0.1949], [0.5820, 0.5820, 0.8051], [0.1121, 0.1121, 0.6639], [0.2826, 0.2826, 0.6380], [0.4449, 0.4449, 0.6705], [0.5551, 0.5551, 0.3295], [0.7174, 0.7174, 0.3620], [0.8879, 0.8879, 0.3361]]
}

(7)
{
  "formula": "V2GeO2",
  "functional": "PBE with a Hubbard U",
  "state": "optimized geometry",
  "rho_g_cm3": 5.260,
  "total_energy_ev_per_atom": -6.287,
  "e_above_lowest_polymorph_mev_per_atom": 323.1,
  "cell": [[6.5011, 0.0000, 0.0000], [0.0000, 6.5011, 0.0000], [0.0000, 0.0000, 3.0853]],
  "species": ["V", "V", "V", "V", "Ge", "Ge", "O", "O", "O", "O"],
  "fractional_positions": [[0.1816, 0.3184, 0.0000], [0.3184, 0.8184, 0.0000], [0.6816, 0.1816, 0.0000], [0.8184, 0.6816, 0.0000], [0.0000, 0.0000, 0.5000], [0.5000, 0.5000, 0.5000], [0.1548, 0.6548, 0.5000], [0.3452, 0.1548, 0.5000], [0.6548, 0.8452, 0.5000], [0.8452, 0.3452, 0.5000]]
}

(8)
{
  "formula": "V2GeO6",
  "functional": "PBE with a Hubbard U",
  "state": "optimized geometry",
  "rho_g_cm3": 4.603,
  "total_energy_ev_per_atom": -7.297,
  "cell": [[2.9195, 0.0000, 0.0000], [0.0914, 4.7098, 0.0000], [1.2101, 0.2867, 7.0974]],
  "species": ["V", "V", "Ge", "O", "O", "O", "O", "O", "O"],
  "fractional_positions": [[0.1693, 0.0265, 0.1859], [0.8307, 0.9735, 0.8141], [0.5000, 0.5000, 0.5000], [0.0573, 0.3231, 0.3761], [0.2720, 0.7958, 0.9486], [0.4266, 0.1926, 0.6910], [0.5734, 0.8074, 0.3090], [0.7280, 0.2042, 0.0514], [0.9427, 0.6769, 0.6239]]
}

(9)
{
  "formula": "VGeO3",
  "functional": "PBE with a Hubbard U",
  "state": "optimized geometry",
  "rho_g_cm3": 4.748,
  "total_energy_ev_per_atom": -7.088,
  "cell": [[5.3343, 0.0000, 0.0000], [0.8929, 6.7127, 0.0000], [0.9180, 0.3192, 6.7031]],
  "species": ["V", "V", "V", "V", "Ge", "Ge", "Ge", "Ge", "O", "O", "O", "O", "O", "O", "O", "O", "O", "O", "O", "O"],
  "fractional_positions": [[0.2493, 0.0911, 0.4087], [0.2508, 0.7227, 0.7772], [0.7492, 0.2773, 0.2228], [0.7507, 0.9089, 0.5913], [0.2083, 0.6056, 0.2941], [0.2911, 0.2056, 0.8942], [0.7089, 0.7944, 0.1058], [0.7917, 0.3944, 0.7059], [0.0965, 0.4229, 0.7927], [0.1264, 0.1390, 0.1215], [0.1367, 0.7879, 0.4768], [0.3641, 0.0234, 0.7114], [0.3717, 0.3785, 0.3610], [0.4040, 0.7074, 0.0769], [0.5960, 0.2926, 0.9231], [0.6283, 0.6215, 0.6390], [0.6359, 0.9766, 0.2886], [0.8633, 0.2121, 0.5232], [0.8736, 0.8610, 0.8785], [0.9035, 0.5771, 0.2073]]
}

(10)
{
  "formula": "V3Ge2O8",
  "functional": "PBE with a Hubbard U",
  "state": "optimized geometry",
  "rho_g_cm3": 4.761,
  "total_energy_ev_per_atom": -7.307,
  "cell": [[3.0991, -5.7367, 0.0000], [3.0991, 5.7367, 0.0000], [0.0000, 0.0000, 8.3594]],
  "species": ["V", "V", "V", "V", "V", "V", "Ge", "Ge", "Ge", "Ge", "O", "O", "O", "O", "O", "O", "O", "O", "O", "O", "O", "O", "O", "O", "O", "O"],
  "fractional_positions": [[0.0000, 0.0000, 0.0000], [0.1158, 0.3842, 0.2500], [0.3842, 0.1158, 0.7500], [0.5000, 0.5000, 0.5000], [0.6158, 0.8842, 0.2500], [0.8842, 0.6158, 0.7500], [0.1232, 0.8768, 0.3906], [0.3768, 0.6232, 0.8906], [0.6232, 0.3768, 0.1094], [0.8768, 0.1232, 0.6094], [0.0031, 0.9969, 0.7468], [0.1158, 0.3579, 0.4902], [0.1421, 0.3842, 0.0098], [0.2495, 0.7505, 0.7683], [0.2505, 0.7495, 0.2683], [0.3579, 0.1158, 0.5098], [0.3842, 0.1421, 0.9902], [0.4969, 0.5031, 0.2468], [0.5031, 0.4969, 0.7532], [0.6158, 0.8579, 0.0098], [0.6421, 0.8842, 0.4902], [0.7495, 0.2505, 0.7317], [0.7505, 0.2495, 0.2317], [0.8579, 0.6158, 0.9902], [0.8842, 0.6421, 0.5098], [0.9969, 0.0031, 0.2532]]
}

(11)
{
  "formula": "VGe2O6",
  "functional": "PBE with a Hubbard U",
  "state": "optimized geometry",
  "rho_g_cm3": 4.144,
  "total_energy_ev_per_atom": -6.853,
  "cell": [[9.7125, 0.0000, 0.0000], [0.0000, 8.8760, 0.0000], [-1.2666, 0.0000, 5.4329]],
  "species": ["V", "V", "V", "V", "Ge", "Ge", "Ge", "Ge", "Ge", "Ge", "Ge", "Ge", "O", "O", "O", "O", "O", "O", "O", "O", "O", "O", "O", "O", "O", "O", "O", "O", "O", "O", "O", "O", "O", "O", "O", "O"],
  "fractional_positions": [[0.2500, 0.1494, 0.0008], [0.2500, 0.3506, 0.5008], [0.7500, 0.6494, 0.4992], [0.7500, 0.8506, 0.9992], [0.0472, 0.6607, 0.3187], [0.0472, 0.8393, 0.8187], [0.4574, 0.6644, 0.7079], [0.4574, 0.8356, 0.2079], [0.5426, 0.1644, 0.7921], [0.5426, 0.3356, 0.2921], [0.9528, 0.1607, 0.1813], [0.9528, 0.3393, 0.6813], [0.1045, 0.0269, 0.8215], [0.1045, 0.4731, 0.3215], [0.1210, 0.7473, 0.6004], [0.1210, 0.7527, 0.1004], [0.1429, 0.1813, 0.2543], [0.1429, 0.3187, 0.7543], [0.3547, 0.1754, 0.7194], [0.3547, 0.3246, 0.2194], [0.3886, 0.7136, 0.9616], [0.3886, 0.7864, 0.4616], [0.3900, 0.0206, 0.1383], [0.3900, 0.4794, 0.6382], [0.6100, 0.5206, 0.3618], [0.6100, 0.9794, 0.8618], [0.6114, 0.2136, 0.5384], [0.6114, 0.2864, 0.0384], [0.6453, 0.6754, 0.7806], [0.6453, 0.8246, 0.2806], [0.8571, 0.6813, 0.2457], [0.8571, 0.8187, 0.7457], [0.8790, 0.2473, 0.8996], [0.8790, 0.2527, 0.3996], [0.8955, 0.5269, 0.6785], [0.8955, 0.9731, 0.1785]]
}

(12)
{
  "formula": "VGeO3",
  "functional": "PBE with a Hubbard U",
  "state": "optimized geometry",
  "rho_g_cm3": 5.031,
  "total_energy_ev_per_atom": -6.698,
  "cell": [[3.8402, 0.0000, 0.0000], [0.0000, 3.8402, 0.0000], [0.0000, 0.0000, 3.8402]],
  "species": ["V", "Ge", "O", "O", "O"],
  "fractional_positions": [[0.0000, 0.0000, 0.0000], [0.5000, 0.5000, 0.5000], [0.0000, 0.0000, 0.5000], [0.0000, 0.5000, 0.0000], [0.5000, 0.0000, 0.0000]]
}

Repeat the tenth record exactly.
{
  "formula": "V3Ge2O8",
  "functional": "PBE with a Hubbard U",
  "state": "optimized geometry",
  "rho_g_cm3": 4.761,
  "total_energy_ev_per_atom": -7.307,
  "cell": [[3.0991, -5.7367, 0.0000], [3.0991, 5.7367, 0.0000], [0.0000, 0.0000, 8.3594]],
  "species": ["V", "V", "V", "V", "V", "V", "Ge", "Ge", "Ge", "Ge", "O", "O", "O", "O", "O", "O", "O", "O", "O", "O", "O", "O", "O", "O", "O", "O"],
  "fractional_positions": [[0.0000, 0.0000, 0.0000], [0.1158, 0.3842, 0.2500], [0.3842, 0.1158, 0.7500], [0.5000, 0.5000, 0.5000], [0.6158, 0.8842, 0.2500], [0.8842, 0.6158, 0.7500], [0.1232, 0.8768, 0.3906], [0.3768, 0.6232, 0.8906], [0.6232, 0.3768, 0.1094], [0.8768, 0.1232, 0.6094], [0.0031, 0.9969, 0.7468], [0.1158, 0.3579, 0.4902], [0.1421, 0.3842, 0.0098], [0.2495, 0.7505, 0.7683], [0.2505, 0.7495, 0.2683], [0.3579, 0.1158, 0.5098], [0.3842, 0.1421, 0.9902], [0.4969, 0.5031, 0.2468], [0.5031, 0.4969, 0.7532], [0.6158, 0.8579, 0.0098], [0.6421, 0.8842, 0.4902], [0.7495, 0.2505, 0.7317], [0.7505, 0.2495, 0.2317], [0.8579, 0.6158, 0.9902], [0.8842, 0.6421, 0.5098], [0.9969, 0.0031, 0.2532]]
}